(i)
VASP calculation (PBE) on a geometry-optimized Pd2CO structure.

a = 5.5566 Å, b = 5.5566 Å, c = 5.5566 Å
α = 90.00°, β = 90.00°, γ = 90.00°
Last column: nearest neighbours and their distance in Å.
Space group Fm-3m (No. 225)
Inequivalent atoms, fractional coordinates:
Pd: 0.2500 0.2500 0.2500  4 O 2.41, 4 C 2.41
C: 0.0000 0.0000 0.0000  8 Pd 2.41
O: 0.0000 0.0000 0.5000  8 Pd 2.41

Computed properties:
Crystal system ... cubic
DOS(E_F) ... 17.61 states/eV/cell
Density ... 9.325 g/cm³

***

(ii)
VASP calculation (PBE) on a geometry-optimized Pd2CO structure.

a = 4.6839 Å, b = 4.6839 Å, c = 9.9612 Å
α = 90.00°, β = 90.00°, γ = 90.00°
Last column: nearest neighbours and their distance in Å.
Space group I-42d (No. 122)
Inequivalent atoms, fractional coordinates:
Pd: 0.2101 0.2500 0.1250  2 C 1.97, 2 O 2.18
C: 0.0000 0.0000 0.0000  4 Pd 1.97
O: 0.0000 0.0000 0.5000  4 Pd 2.18

Computed properties:
Crystal system ... tetragonal
DOS(E_F) ... 6.26 states/eV/cell
Density ... 7.320 g/cm³

***

Result of the stability comparison: (ii) is the most stable of them.

***

(i)
VASP calculation (PBE) on a geometry-optimized Pm2CO structure.

a = 3.6811 Å, b = 5.1090 Å, c = 7.3243 Å
α = 90.00°, β = 90.00°, γ = 90.00°
Last column: nearest neighbours and their distance in Å.
Space group Pmmn (No. 59, origin choice 2)
Inequivalent atoms, fractional coordinates:
Pm: 0.2500 0.2500 0.1221  4 C 2.56-2.65, 2 O 2.62
Pm: 0.2500 0.2500 0.6282  2 C 2.51, 4 O 2.55-2.60
C: 0.2500 0.7500 0.1381  6 Pm 2.51-2.65
O: 0.2500 0.7500 0.6224  6 Pm 2.55-2.62

Computed properties:
Crystal system ... orthorhombic
DOS(E_F) ... 1.35 states/eV/cell
Density ... 7.667 g/cm³

***

(ii)
VASP calculation (PBE) on a geometry-optimized Pm2CO structure.

a = 7.2762 Å, b = 14.5851 Å, c = 6.3249 Å
α = 90.00°, β = 124.90°, γ = 90.00°
Last column: nearest neighbours and their distance in Å.
Space group C2/c (No. 15)
Inequivalent atoms, fractional coordinates:
Pm: 0.2477 0.0624 0.2458  3 O 2.56-2.62, 3 C 2.57-2.58
Pm: 0.2505 0.1874 0.7541  3 C 2.56-2.57, 3 O 2.60-2.61
C: 0.0000 0.0629 0.7500  6 Pm 2.56-2.58
C: 0.0000 0.3124 0.7500  6 Pm 2.57-2.58
O: 0.0000 0.1858 0.2500  6 Pm 2.56-2.61
O: 0.0000 0.4392 0.2500  6 Pm 2.56-2.62

Computed properties:
Crystal system ... monoclinic
DOS(E_F) ... 5.73 states/eV/cell
Density ... 7.674 g/cm³

***

(iii)
VASP calculation (PBE) on a geometry-optimized Pm2CO structure.

a = 3.6097 Å, b = 3.6097 Å, c = 18.7095 Å
α = 90.00°, β = 90.00°, γ = 120.00°
Last column: nearest neighbours and their distance in Å.
Space group R3m (No. 160, hexagonal axes)
Inequivalent atoms, fractional coordinates:
Pm: 0.0000 0.0000 0.0000  3 C 2.49
Pm: 0.0000 0.0000 0.1766  3 O 2.51, 3 C 2.60
C: 0.0000 0.0000 0.5934  6 Pm 2.49-2.60
O: 0.0000 0.0000 0.7687  3 Pm 2.51

Computed properties:
Crystal system ... trigonal
DOS(E_F) ... 0.69 states/eV/cell
Density ... 7.504 g/cm³

***

Result of the stability comparison: (ii) is the most stable of them.

***

(i)
VASP calculation (PBE) on a geometry-optimized Pm3CO structure.

a = 6.3225 Å, b = 11.4916 Å, c = 6.6388 Å
α = 90.00°, β = 111.13°, γ = 90.00°
Last column: nearest neighbours and their distance in Å.
Space group C2/m (No. 12)
Inequivalent atoms, fractional coordinates:
Pm: 0.2366 0.0000 0.2542  2 O 2.31-2.46
Pm: 0.2452 0.1698 0.7263  1 O 2.34, 2 C 2.57-2.61
C: 0.0000 0.3396 0.5000  6 Pm 2.57-2.62
O: 0.1802 0.0000 0.8908  4 Pm 2.31-2.46

Computed properties:
Crystal system ... monoclinic
DOS(E_F) ... 14.04 states/eV/cell
Density ... 6.835 g/cm³

***

(ii)
VASP calculation (PBE) on a geometry-optimized Pm3CO structure.

a = 6.2435 Å, b = 6.2435 Å, c = 6.2712 Å
α = 90.00°, β = 90.00°, γ = 120.00°
Last column: nearest neighbours and their distance in Å.
Space group P-6c2 (No. 188)
Inequivalent atoms, fractional coordinates:
Pm: 0.0041 0.3611 0.2500  2 C 2.53, 2 O 2.56
C: 0.3333 0.6667 0.0000  6 Pm 2.53
O: 0.6667 0.3333 0.0000  6 Pm 2.56

Computed properties:
Crystal system ... hexagonal
DOS(E_F) ... 6.58 states/eV/cell
Density ... 7.263 g/cm³

***

Result of the stability comparison: (ii) is the most stable of them.

***

(i)
VASP calculation (PBE) on a geometry-optimized Pm4C2O structure.

a = 6.1820 Å, b = 12.4743 Å, c = 3.6557 Å
α = 90.00°, β = 90.00°, γ = 90.00°
Last column: nearest neighbours and their distance in Å.
Space group Pbam (No. 55)
Inequivalent atoms, fractional coordinates:
Pm: 0.2101 0.0933 0.0000  2 C 2.43-2.55, 2 O 2.53
Pm: 0.2262 0.3328 0.5000  4 C 2.60-2.62, 1 O 2.69
C: 0.0255 0.7504 0.0000  6 Pm 2.43-2.62
O: 0.0000 0.0000 0.5000  6 Pm 2.53-2.69

Computed properties:
Crystal system ... orthorhombic
DOS(E_F) ... 6.68 states/eV/cell
Density ... 7.304 g/cm³

***

(ii)
VASP calculation (PBE) on a geometry-optimized Pm4C2O structure.

a = 3.6726 Å, b = 3.6726 Å, c = 37.7473 Å
α = 90.00°, β = 90.00°, γ = 120.00°
Last column: nearest neighbours and their distance in Å.
Space group R-3m (No. 166, hexagonal axes)
Inequivalent atoms, fractional coordinates:
Pm: 0.0000 0.0000 0.1140  3 C 2.48
Pm: 0.0000 0.0000 0.2947  3 O 2.57, 3 C 2.63
C: 0.0000 0.0000 0.4132  6 Pm 2.48-2.63
O: 0.0000 0.0000 0.0000  6 Pm 2.57

Computed properties:
Crystal system ... trigonal
DOS(E_F) ... 7.47 states/eV/cell
Density ... 7.005 g/cm³

***

Result of the stability comparison: (ii) is the most stable of them.

***

(i)
VASP calculation (PBE) on a geometry-optimized Pu2CO structure.

a = 3.5709 Å, b = 4.9371 Å, c = 7.0877 Å
α = 90.00°, β = 90.00°, γ = 90.00°
Last column: nearest neighbours and their distance in Å.
Space group Pmmn (No. 59, origin choice 2)
Inequivalent atoms, fractional coordinates:
Pu: 0.2500 0.2500 0.1194  4 C 2.48-2.60, 2 O 2.49
Pu: 0.2500 0.2500 0.6198  2 C 2.43, 4 O 2.47-2.54
C: 0.2500 0.7500 0.1481  6 Pu 2.43-2.60
O: 0.2500 0.7500 0.6356  6 Pu 2.47-2.54

Computed properties:
Crystal system ... orthorhombic
DOS(E_F) ... 25.79 states/eV/cell
Density ... 13.715 g/cm³

***

(ii)
VASP calculation (PBE) on a geometry-optimized Pu2CO structure.

a = 7.0324 Å, b = 14.1692 Å, c = 6.0935 Å
α = 90.00°, β = 124.77°, γ = 90.00°
Last column: nearest neighbours and their distance in Å.
Space group C2/c (No. 15)
Inequivalent atoms, fractional coordinates:
Pu: 0.2493 0.1876 0.2499  3 C 2.49-2.50, 3 O 2.50-2.54
Pu: 0.2504 0.0626 0.7502  3 O 2.45-2.50, 3 C 2.50
C: 0.0000 0.1878 0.7500  6 Pu 2.49-2.50
C: 0.0000 0.4369 0.7500  6 Pu 2.49-2.50
O: 0.0000 0.0582 0.2500  6 Pu 2.46-2.54
O: 0.0000 0.3167 0.2500  6 Pu 2.45-2.53

Computed properties:
Crystal system ... monoclinic
DOS(E_F) ... 105.33 states/eV/cell
Density ... 13.743 g/cm³

***

Result of the stability comparison: (ii) is the most stable of them.

***

(i)
VASP calculation (PBE) on a geometry-optimized Rb4CO4 structure.

a = 6.1474 Å, b = 7.5095 Å, c = 12.0970 Å
α = 90.00°, β = 90.00°, γ = 90.00°
Last column: nearest neighbours and their distance in Å.
Space group Amm2 (No. 38)
Inequivalent atoms, fractional coordinates:
Rb: 0.0000 0.2424 0.0000  2 O 2.63
Rb: 0.2532 0.0000 0.2477  2 O 2.50
C: 0.5000 0.0000 0.0435  4 O 1.39-1.48
O: 0.3071 0.0000 0.9829  1 C 1.39
O: 0.5000 0.1587 0.1161  1 C 1.48

Computed properties:
Crystal system ... orthorhombic
DOS(E_F) ... 8.27 states/eV/cell
Density ... 2.485 g/cm³

***

(ii)
VASP calculation (PBE) on a geometry-optimized Rb4CO4 structure.

a = 6.9954 Å, b = 6.4450 Å, c = 8.4166 Å
α = 90.00°, β = 94.08°, γ = 90.00°
Last column: nearest neighbours and their distance in Å.
Space group P2_1 (No. 4)
Inequivalent atoms, fractional coordinates:
Rb: 0.0350 0.0000 0.4135  5 O 2.83-2.90, 1 C 2.99
Rb: 0.0449 0.7885 0.9619  5 O 2.77-2.88, 1 C 2.94
Rb: 0.3835 0.5008 0.3824  4 O 2.75-2.89
Rb: 0.4550 0.5140 0.8468  4 O 2.77-2.92
C: 0.2099 0.0834 0.7424  4 O 1.43-1.45
O: 0.0023 0.1028 0.7373  1 C 1.45
O: 0.2560 0.8728 0.7013  1 C 1.44
O: 0.2847 0.2261 0.6317  1 C 1.43
O: 0.2897 0.1271 0.9012  1 C 1.44

Computed properties:
Crystal system ... monoclinic
Density ... 3.667 g/cm³

***

Result of the stability comparison: (ii) is the most stable of them.